This record from the Alexandria database describes a relaxed Sr3NbCu crystal. The functional is PBE.

Structure (POSCAR):
```
Sr3NbCu
1.0
5.816 0.000 0.000
0.000 5.816 0.000
0.000 0.000 5.816
Sr Nb Cu
3 1 1
direct
0.000 0.500 0.000
0.000 0.000 0.500
0.500 0.000 0.000
0.000 0.000 0.000
0.500 0.500 0.500
```

Properties
**Space-group type**: Pm-3m (221)
**Energy above the most stable polymorph in this dataset**: 0.355 eV/atom
**Total moment**: 0.00 μB per formula unit
**D(E_F)**: 3.299 states/eV per cell